# AgTeN2O GGA-PBE optimized geometry
data_AgTeN2O
_chemical_formula_sum 'Ag1 Te1 N2 O1'
_cell_length_a 4.1017
_cell_length_b 4.1017
_cell_length_c 3.9883
_cell_angle_alpha 90.00
_cell_angle_beta 90.00
_cell_angle_gamma 90.00
_space_group_name_H-M_alt 'P 4/m m m'
_space_group_IT_number 123
_space_group_name_Hall '-P 4 2'
loop_
_atom_site_label
_atom_site_type_symbol
_atom_site_fract_x
_atom_site_fract_y
_atom_site_fract_z
_atom_site_occupancy
Ag1 Ag 0.0000 0.0000 0.0000 1
Te1 Te 0.5000 0.5000 0.5000 1
N1 N 0.0000 0.5000 0.0000 1
O1 O 0.0000 0.0000 0.5000 1
# ΔE_f (raw)   1.659 eV per atom
# Magnetic moment   0.00 μB per formula unit
# V   67.1 Å³/f.u.